VASP calculation (GGA-PBE) on a relaxed structure of LaCdSi.

```
data_LaCdSi
_chemical_formula_sum 'La1 Cd1 Si1'
_symmetry_space_group_name_H-M 'P 1'
_symmetry_Int_Tables_number 1
_cell_length_a 3.314
_cell_length_b 3.314
_cell_length_c 7.712
_cell_angle_alpha 90.00
_cell_angle_beta 90.00
_cell_angle_gamma 120.00
loop_
_symmetry_equiv_pos_as_xyz
'x,y,z'
loop_
_atom_site_label
_atom_site_fract_x
_atom_site_fract_y
_atom_site_fract_z
La1 0.000 0.000 0.000
Cd1 0.333 0.667 0.619
Si1 0.667 0.333 0.329
```

Output
- DOS at the Fermi energy (states/eV/cell) = 2.10
- formation energy from raw total energies (kJ/mol of atoms) = 13.6
- size of the total moment (μB/cell) = 0.000
- total DFT energy (no corrections) (eV/cell) = -10.841
- crystal system = trigonal
- theoretical density (g/cm³) = 6.32
- SG = P3m1 (156)

VASP calculation (GGA-PBE) on a relaxed structure of HgTeI2N.

```
data_HgTeI2N
_chemical_formula_sum 'Hg1 Te1 I2 N1'
_symmetry_space_group_name_H-M 'P 1'
_symmetry_Int_Tables_number 1
_cell_length_a 5.802
_cell_length_b 5.802
_cell_length_c 5.776
_cell_angle_alpha 90.00
_cell_angle_beta 90.00
_cell_angle_gamma 90.00
loop_
_symmetry_equiv_pos_as_xyz
'x,y,z'
loop_
_atom_site_label
_atom_site_fract_x
_atom_site_fract_y
_atom_site_fract_z
Hg1 0.000 0.000 0.000
Te1 0.000 0.000 0.500
I1 0.000 0.500 0.000
I2 0.500 0.000 0.000
N1 0.500 0.500 0.500
```

Output
- DOS at the Fermi energy (states/eV/cell) = 10.36
- formation energy from raw total energies (kJ/mol of atoms) = 158.6
- size of the total moment (μB/cell) = 0.980
- total DFT energy (no corrections) (eV/cell) = -6.649
- crystal system = tetragonal
- theoretical density (g/cm³) = 5.09
- SG = P4/mmm (123)
- relative energy among the computed polymorphs (eV per formula unit) = 5.110

VASP calculation (GGA-PBE) on a relaxed structure of TiAgOsO6.

```
data_TiAgOsO6
_chemical_formula_sum 'Ti2 Ag2 Os2 O12'
_symmetry_space_group_name_H-M 'P 1'
_symmetry_Int_Tables_number 1
_cell_length_a 5.164
_cell_length_b 5.164
_cell_length_c 9.798
_cell_angle_alpha 90.00
_cell_angle_beta 90.00
_cell_angle_gamma 120.00
loop_
_symmetry_equiv_pos_as_xyz
'x,y,z'
loop_
_atom_site_label
_atom_site_fract_x
_atom_site_fract_y
_atom_site_fract_z
Ti1 0.333 0.667 0.250
Ti2 0.667 0.333 0.750
Ag1 0.000 0.000 0.000
Ag2 0.000 0.000 0.500
Os1 0.333 0.667 0.750
Os2 0.667 0.333 0.250
O1 0.009 0.378 0.641
O2 0.009 0.631 0.859
O3 0.369 0.378 0.859
O4 0.369 0.991 0.641
O5 0.378 0.009 0.141
O6 0.378 0.369 0.359
O7 0.622 0.631 0.641
O8 0.622 0.991 0.859
O9 0.631 0.009 0.359
O10 0.631 0.622 0.141
O11 0.991 0.369 0.141
O12 0.991 0.622 0.359
```

Output
- DOS at the Fermi energy (states/eV/cell) = 7.87
- formation energy from raw total energies (kJ/mol of atoms) = -136.6
- size of the total moment (μB/cell) = 1.473
- total DFT energy (no corrections) (eV/cell) = -128.931
- crystal system = trigonal
- theoretical density (g/cm³) = 6.49
- SG = P-31c (163)

VASP calculation (GGA-PBE) on a relaxed structure of Rb2HgS2.

```
data_Rb2HgS2
_chemical_formula_sum 'Rb4 Hg2 S4'
_symmetry_space_group_name_H-M 'P 1'
_symmetry_Int_Tables_number 1
_cell_length_a 9.131
_cell_length_b 8.126
_cell_length_c 7.709
_cell_angle_alpha 70.37
_cell_angle_beta 56.96
_cell_angle_gamma 52.67
loop_
_symmetry_equiv_pos_as_xyz
'x,y,z'
loop_
_atom_site_label
_atom_site_fract_x
_atom_site_fract_y
_atom_site_fract_z
Rb1 0.075 0.675 0.075
Rb2 0.325 0.925 0.325
Rb3 0.675 0.075 0.675
Rb4 0.925 0.325 0.925
Hg1 0.375 0.375 0.375
Hg2 0.625 0.625 0.625
S1 0.121 0.629 0.629
S2 0.371 0.879 0.879
S3 0.629 0.121 0.121
S4 0.879 0.371 0.371
```

Output
- DOS at the Fermi energy (states/eV/cell) = 0.00
- formation energy from raw total energies (kJ/mol of atoms) = -79.7
- size of the total moment (μB/cell) = 0.000
- total DFT energy (no corrections) (eV/cell) = -29.249
- crystal system = orthorhombic
- theoretical density (g/cm³) = 3.80
- SG = Fddd (70)

VASP calculation (GGA-PBE) on a relaxed structure of GaPbW3.

```
data_GaPbW3
_chemical_formula_sum 'Ga1 Pb1 W3'
_symmetry_space_group_name_H-M 'P 1'
_symmetry_Int_Tables_number 1
_cell_length_a 4.667
_cell_length_b 4.667
_cell_length_c 4.667
_cell_angle_alpha 90.00
_cell_angle_beta 90.00
_cell_angle_gamma 90.00
loop_
_symmetry_equiv_pos_as_xyz
'x,y,z'
loop_
_atom_site_label
_atom_site_fract_x
_atom_site_fract_y
_atom_site_fract_z
Ga1 0.000 0.000 0.000
Pb1 0.500 0.500 0.500
W1 0.000 0.000 0.500
W2 0.000 0.500 0.000
W3 0.500 0.000 0.000
```

Output
- DOS at the Fermi energy (states/eV/cell) = 4.52
- ΔH_f (0 K) (eV/f.u.) = 9.287
- size of the total moment (μB/cell) = 0.000
- total DFT energy (no corrections) (eV/cell) = -36.308
- crystal system = cubic
- theoretical density (g/cm³) = 13.53
- SG = Pm-3m (221)
- relative energy among the computed polymorphs (eV per formula unit) = 0.000

VASP calculation (GGA-PBE) on a relaxed structure of BeTcW4.

```
data_BeTcW4
_chemical_formula_sum 'Be1 Tc1 W4'
_symmetry_space_group_name_H-M 'P 1'
_symmetry_Int_Tables_number 1
_cell_length_a 5.192
_cell_length_b 5.192
_cell_length_c 5.192
_cell_angle_alpha 60.00
_cell_angle_beta 60.00
_cell_angle_gamma 60.00
loop_
_symmetry_equiv_pos_as_xyz
'x,y,z'
loop_
_atom_site_label
_atom_site_fract_x
_atom_site_fract_y
_atom_site_fract_z
Be1 0.000 0.000 0.000
Tc1 0.750 0.750 0.750
W1 0.375 0.375 0.375
W2 0.375 0.375 0.876
W3 0.375 0.876 0.375
W4 0.876 0.375 0.375
```

Output
- DOS at the Fermi energy (states/eV/cell) = 4.95
- ΔH_f (0 K) (eV/f.u.) = 3.915
- size of the total moment (μB/cell) = 0.000
- total DFT energy (no corrections) (eV/cell) = -61.990
- crystal system = cubic
- theoretical density (g/cm³) = 14.13
- SG = F-43m (216)

VASP calculation (GGA-PBE) on a relaxed structure of MgCrTc.

```
data_MgCrTc
_chemical_formula_sum 'Mg1 Cr1 Tc1'
_symmetry_space_group_name_H-M 'P 1'
_symmetry_Int_Tables_number 1
_cell_length_a 5.320
_cell_length_b 5.320
_cell_length_c 5.320
_cell_angle_alpha 146.68
_cell_angle_beta 146.68
_cell_angle_gamma 47.83
loop_
_symmetry_equiv_pos_as_xyz
'x,y,z'
loop_
_atom_site_label
_atom_site_fract_x
_atom_site_fract_y
_atom_site_fract_z
Mg1 0.000 0.000 0.000
Cr1 0.311 0.311 0.000
Tc1 0.692 0.692 0.000
```

Output
- DOS at the Fermi energy (states/eV/cell) = 2.71
- ΔH_f (0 K) (eV/f.u.) = 0.419
- size of the total moment (μB/cell) = 0.097
- total DFT energy (no corrections) (eV/cell) = -21.165
- crystal system = tetragonal
- theoretical density (g/cm³) = 6.40
- SG = I4mm (107)
- relative energy among the computed polymorphs (eV per formula unit) = 0.000

VASP calculation (GGA-PBE) on a relaxed structure of Mo2RuAu.

```
data_Mo2RuAu
_chemical_formula_sum 'Mo2 Ru1 Au1'
_symmetry_space_group_name_H-M 'P 1'
_symmetry_Int_Tables_number 1
_cell_length_a 4.920
_cell_length_b 4.920
_cell_length_c 4.920
_cell_angle_alpha 133.15
_cell_angle_beta 133.15
_cell_angle_gamma 68.42
loop_
_symmetry_equiv_pos_as_xyz
'x,y,z'
loop_
_atom_site_label
_atom_site_fract_x
_atom_site_fract_y
_atom_site_fract_z
Mo1 0.250 0.750 0.500
Mo2 0.750 0.250 0.500
Ru1 0.000 0.000 0.000
Au1 0.500 0.500 0.000
```

Output
- DOS at the Fermi energy (states/eV/cell) = 3.62
- ΔH_f (0 K) (eV/f.u.) = 0.669
- size of the total moment (μB/cell) = 0.000
- total DFT energy (no corrections) (eV/cell) = -33.547
- crystal system = tetragonal
- theoretical density (g/cm³) = 13.06
- SG = I4/mmm (139)
- relative energy among the computed polymorphs (eV per formula unit) = 0.305

VASP calculation (GGA-PBE) on a relaxed structure of La2Os2Pd.

```
data_La2Os2Pd
_chemical_formula_sum 'La4 Os4 Pd2'
_symmetry_space_group_name_H-M 'P 1'
_symmetry_Int_Tables_number 1
_cell_length_a 7.075
_cell_length_b 7.075
_cell_length_c 4.511
_cell_angle_alpha 90.00
_cell_angle_beta 90.00
_cell_angle_gamma 90.00
loop_
_symmetry_equiv_pos_as_xyz
'x,y,z'
loop_
_atom_site_label
_atom_site_fract_x
_atom_site_fract_y
_atom_site_fract_z
La1 0.184 0.316 0.000
La2 0.316 0.816 0.000
La3 0.684 0.184 0.000
La4 0.816 0.684 0.000
Os1 0.119 0.619 0.500
Os2 0.381 0.119 0.500
Os3 0.619 0.881 0.500
Os4 0.881 0.381 0.500
Pd1 0.000 0.000 0.500
Pd2 0.500 0.500 0.500
```

Output
- DOS at the Fermi energy (states/eV/cell) = 10.81
- ΔH_f (0 K) (eV/f.u.) = -0.276
- size of the total moment (μB/cell) = 0.000
- total DFT energy (no corrections) (eV/cell) = -75.566
- crystal system = tetragonal
- theoretical density (g/cm³) = 11.25
- SG = P4/mbm (127)
- relative energy among the computed polymorphs (eV per formula unit) = 0.000

VASP calculation (GGA-PBE) on a relaxed structure of Er6Zn5Pb.

```
data_Er6Zn5Pb
_chemical_formula_sum 'Er6 Zn5 Pb1'
_symmetry_space_group_name_H-M 'P 1'
_symmetry_Int_Tables_number 1
_cell_length_a 8.803
_cell_length_b 8.803
_cell_length_c 8.803
_cell_angle_alpha 146.57
_cell_angle_beta 131.95
_cell_angle_gamma 59.80
loop_
_symmetry_equiv_pos_as_xyz
'x,y,z'
loop_
_atom_site_label
_atom_site_fract_x
_atom_site_fract_y
_atom_site_fract_z
Er1 0.071 0.328 0.743
Er2 0.236 0.000 0.236
Er3 0.415 0.672 0.743
Er4 0.585 0.328 0.257
Er5 0.764 0.000 0.764
Er6 0.929 0.672 0.257
Zn1 0.000 0.500 0.500
Zn2 0.168 0.168 0.000
Zn3 0.330 0.830 0.500
Zn4 0.670 0.170 0.500
Zn5 0.832 0.832 0.000
Pb1 0.500 0.500 0.000
```

Output
- DOS at the Fermi energy (states/eV/cell) = 10.39
- ΔH_f (0 K) (eV/f.u.) = -4.263
- size of the total moment (μB/cell) = 0.000
- total DFT energy (no corrections) (eV/cell) = -41.718
- crystal system = orthorhombic
- theoretical density (g/cm³) = 9.22
- SG = Immm (71)

VASP calculation (GGA-PBE) on a relaxed structure of YNbGa2.

```
data_YNbGa2
_chemical_formula_sum 'Y1 Nb1 Ga2'
_symmetry_space_group_name_H-M 'P 1'
_symmetry_Int_Tables_number 1
_cell_length_a 3.547
_cell_length_b 3.547
_cell_length_c 6.235
_cell_angle_alpha 90.00
_cell_angle_beta 90.00
_cell_angle_gamma 90.00
loop_
_symmetry_equiv_pos_as_xyz
'x,y,z'
loop_
_atom_site_label
_atom_site_fract_x
_atom_site_fract_y
_atom_site_fract_z
Y1 0.000 0.000 0.000
Nb1 0.000 0.000 0.500
Ga1 0.500 0.500 0.292
Ga2 0.500 0.500 0.708
```

Output
- DOS at the Fermi energy (states/eV/cell) = 1.68
- ΔH_f (0 K) (eV/f.u.) = -1.406
- size of the total moment (μB/cell) = 0.000
- total DFT energy (no corrections) (eV/cell) = -23.993
- crystal system = tetragonal
- theoretical density (g/cm³) = 6.80
- SG = P4/mmm (123)
- relative energy among the computed polymorphs (eV per formula unit) = 0.000

VASP calculation (GGA-PBE) on a relaxed structure of PuFeSb.

```
data_PuFeSb
_chemical_formula_sum 'Pu6 Fe6 Sb6'
_symmetry_space_group_name_H-M 'P 1'
_symmetry_Int_Tables_number 1
_cell_length_a 6.282
_cell_length_b 6.282
_cell_length_c 11.370
_cell_angle_alpha 90.00
_cell_angle_beta 90.00
_cell_angle_gamma 120.00
loop_
_symmetry_equiv_pos_as_xyz
'x,y,z'
loop_
_atom_site_label
_atom_site_fract_x
_atom_site_fract_y
_atom_site_fract_z
Pu1 0.000 0.000 0.000
Pu2 0.000 0.000 0.333
Pu3 0.000 0.000 0.667
Pu4 0.000 0.500 0.167
Pu5 0.500 0.000 0.500
Pu6 0.500 0.500 0.833
Fe1 0.212 0.606 0.667
Fe2 0.394 0.606 0.333
Fe3 0.394 0.788 0.000
Fe4 0.606 0.212 0.000
Fe5 0.606 0.394 0.333
Fe6 0.788 0.394 0.667
Sb1 0.000 0.500 0.454
Sb2 0.000 0.500 0.880
Sb3 0.500 0.000 0.213
Sb4 0.500 0.000 0.787
Sb5 0.500 0.500 0.120
Sb6 0.500 0.500 0.546
```

Output
- DOS at the Fermi energy (states/eV/cell) = 50.87
- formation energy from raw total energies (kJ/mol of atoms) = -13.8
- size of the total moment (μB/cell) = 23.160
- total DFT energy (no corrections) (eV/cell) = -164.079
- crystal system = hexagonal
- theoretical density (g/cm³) = 10.81
- SG = P6_222 (180)